# 1
The following is a DFT calculation (PBE) of U2Sn after structural relaxation.

Total energy   -8.703 eV/atom
Energy of formation   156.3 meV per atom
Volume   22.6 A^3/atom
Space group   Fd-3m

a = 5.765 Å, b = 5.765 Å, c = 5.765 Å
α = 60.00°, β = 60.00°, γ = 60.00°
Fractional positions:
U  0.000  0.000  0.000
U  0.000  0.000  0.500
U  0.000  0.500  0.000
U  0.500  0.000  0.000
Sn  0.375  0.375  0.375
Sn  0.625  0.625  0.625

---

# 2
The following is a DFT calculation (PBE) of La2SmY2Ho after structural relaxation.

Total energy   -5.082 eV/atom
Energy of formation   264.3 meV per atom
Volume   34.9 A^3/atom
Space group   Pnnm

a = 6.648 Å, b = 18.408 Å, c = 3.420 Å
α = 90.00°, β = 90.00°, γ = 90.00°
Fractional positions:
La  0.223  0.186  0.000
La  0.277  0.686  0.500
La  0.723  0.314  0.500
La  0.777  0.814  0.000
Sm  0.000  0.500  0.000
Sm  0.500  0.000  0.500
Y  0.221  0.356  0.500
Y  0.279  0.856  0.000
Y  0.721  0.144  0.000
Y  0.779  0.644  0.500
Ho  0.000  0.000  0.000
Ho  0.500  0.500  0.500

---

# 3
The following is a DFT calculation (PBE) of Y2GeIrF after structural relaxation.

Total energy   -6.456 eV/atom
Volume   27.3 A^3/atom
Space group   P4/mmm
Raw formation energy   -801 meV/atom

a = 5.434 Å, b = 5.434 Å, c = 4.630 Å
α = 90.00°, β = 90.00°, γ = 90.00°
Fractional positions:
Y  0.000  0.500  0.000
Y  0.500  0.000  0.000
Ge  0.000  0.000  0.500
Ir  0.000  0.000  0.000
F  0.500  0.500  0.500

---

# 4
The following is a DFT calculation (PBE) of PmNdHoZn after structural relaxation.

Total energy   -3.815 eV/atom
Energy relative to the lowest polymorph listed for this composition   0.184 eV/atom
Energy of formation   27.4 meV per atom
Volume   28.3 A^3/atom
Space group   F-43m

a = 7.680 Å, b = 7.680 Å, c = 7.680 Å
α = 90.00°, β = 90.00°, γ = 90.00°
Fractional positions:
Pm  0.000  0.000  0.000
Pm  0.000  0.500  0.500
Pm  0.500  0.000  0.500
Pm  0.500  0.500  0.000
Nd  0.000  0.000  0.500
Nd  0.000  0.500  0.000
Nd  0.500  0.000  0.000
Nd  0.500  0.500  0.500
Ho  0.250  0.250  0.750
Ho  0.250  0.750  0.250
Ho  0.750  0.250  0.250
Ho  0.750  0.750  0.750
Zn  0.250  0.250  0.250
Zn  0.250  0.750  0.750
Zn  0.750  0.250  0.750
Zn  0.750  0.750  0.250

---

# 5
The following is a DFT calculation (PBE) of KLi6Bi4 after structural relaxation.

Total energy   -2.915 eV/atom
Energy of formation   -360.0 meV per atom
Volume   25.4 A^3/atom
Space group   P-6m2

a = 8.317 Å, b = 8.317 Å, c = 4.670 Å
α = 90.00°, β = 90.00°, γ = 120.00°
Fractional positions:
K  0.000  0.000  0.000
Li  0.217  0.434  0.500
Li  0.217  0.783  0.500
Li  0.532  0.065  0.000
Li  0.532  0.468  0.000
Li  0.566  0.783  0.500
Li  0.935  0.468  0.000
Bi  0.333  0.667  0.000
Bi  0.400  0.200  0.500
Bi  0.800  0.200  0.500
Bi  0.800  0.600  0.500

---

# 6
The following is a DFT calculation (PBE) of KIn2Hg10 after structural relaxation.

Total energy   -0.791 eV/atom
Energy of formation   -53.5 meV per atom
Volume   28.6 A^3/atom
Space group   Fmmm

a = 10.769 Å, b = 8.418 Å, c = 8.107 Å
α = 81.32°, β = 50.60°, γ = 48.09°
Fractional positions:
K  0.000  0.000  0.000
In  0.000  0.500  0.000
In  0.500  0.000  0.500
Hg  0.000  0.000  0.500
Hg  0.001  0.646  0.354
Hg  0.283  0.502  0.498
Hg  0.354  0.999  0.001
Hg  0.498  0.717  0.283
Hg  0.500  0.500  0.000
Hg  0.502  0.283  0.717
Hg  0.646  0.001  0.999
Hg  0.717  0.498  0.502
Hg  0.999  0.354  0.646

---

# 7
The following is a DFT calculation (PBE) of SmPa2Ga6 after structural relaxation.

Total energy   -4.923 eV/atom
Energy relative to the lowest polymorph listed for this composition   0.143 eV/atom
Energy of formation   -270.6 meV per atom
Volume   22.5 A^3/atom
Space group   Immm

a = 7.692 Å, b = 7.692 Å, c = 7.692 Å
α = 146.15°, β = 125.95°, γ = 65.33°
Fractional positions:
Sm  0.000  0.000  0.000
Pa  0.395  0.895  0.500
Pa  0.605  0.105  0.500
Ga  0.009  0.307  0.702
Ga  0.295  0.500  0.795
Ga  0.394  0.693  0.702
Ga  0.606  0.307  0.298
Ga  0.705  0.500  0.205
Ga  0.991  0.693  0.298

---

# 8
The following is a DFT calculation (PBE) of WCl2 after structural relaxation.

Total energy   -3.576 eV/atom
Energy relative to the lowest polymorph listed for this composition   2.703 eV/atom
Volume   18.1 A^3/atom
Space group   Fd-3m
Raw formation energy   1973 meV/atom

a = 5.353 Å, b = 5.353 Å, c = 5.353 Å
α = 60.00°, β = 60.00°, γ = 60.00°
Fractional positions:
W  0.125  0.125  0.125
W  0.875  0.875  0.875
Cl  0.000  0.500  0.500
Cl  0.500  0.000  0.500
Cl  0.500  0.500  0.000
Cl  0.500  0.500  0.500

---

# 9
The following is a DFT calculation (PBE) of SrSmHg4 after structural relaxation.

Total energy   -1.534 eV/atom
Energy relative to the lowest polymorph listed for this composition   0.146 eV/atom
Energy of formation   -265.9 meV per atom
Volume   26.9 A^3/atom
Space group   F-43m

a = 6.108 Å, b = 6.108 Å, c = 6.108 Å
α = 60.00°, β = 60.00°, γ = 60.00°
Fractional positions:
Sr  0.000  0.000  0.000
Sm  0.750  0.750  0.750
Hg  0.375  0.375  0.375
Hg  0.375  0.375  0.874
Hg  0.375  0.874  0.375
Hg  0.874  0.375  0.375

---

# 10
The following is a DFT calculation (PBE) of TlFeBr2 after structural relaxation.

Total energy   -3.782 eV/atom
Energy relative to the lowest polymorph listed for this composition   0.026 eV/atom
Volume   28.5 A^3/atom
Space group   I-42d
Raw formation energy   -239 meV/atom

a = 7.966 Å, b = 7.966 Å, c = 7.193 Å
α = 90.00°, β = 90.00°, γ = 90.00°
Fractional positions:
Tl  0.000  0.000  0.000
Tl  0.000  0.500  0.250
Tl  0.500  0.000  0.750
Tl  0.500  0.500  0.500
Fe  0.000  0.000  0.500
Fe  0.000  0.500  0.750
Fe  0.500  0.000  0.250
Fe  0.500  0.500  0.000
Br  0.153  0.250  0.625
Br  0.250  0.653  0.875
Br  0.250  0.847  0.375
Br  0.347  0.250  0.125
Br  0.653  0.750  0.125
Br  0.750  0.153  0.375
Br  0.750  0.347  0.875
Br  0.847  0.750  0.625

---

# 11
The following is a DFT calculation (PBE) of CaSmTlSn after structural relaxation.

Total energy   -3.767 eV/atom
Energy of formation   -494.2 meV per atom
Volume   28.8 A^3/atom
Space group   F-43m

a = 7.724 Å, b = 7.724 Å, c = 7.724 Å
α = 90.00°, β = 90.00°, γ = 90.00°
Fractional positions:
Ca  0.000  0.000  0.000
Ca  0.000  0.500  0.500
Ca  0.500  0.000  0.500
Ca  0.500  0.500  0.000
Sm  0.000  0.000  0.500
Sm  0.000  0.500  0.000
Sm  0.500  0.000  0.000
Sm  0.500  0.500  0.500
Tl  0.250  0.250  0.250
Tl  0.250  0.750  0.750
Tl  0.750  0.250  0.750
Tl  0.750  0.750  0.250
Sn  0.250  0.250  0.750
Sn  0.250  0.750  0.250
Sn  0.750  0.250  0.250
Sn  0.750  0.750  0.750

---

# 12
The following is a DFT calculation (PBE) of Cs3GaAu after structural relaxation.

Total energy   -1.674 eV/atom
Energy relative to the lowest polymorph listed for this composition   0.221 eV/atom
Energy of formation   99.3 meV per atom
Volume   65.4 A^3/atom
Space group   Pm-3m

a = 6.890 Å, b = 6.890 Å, c = 6.890 Å
α = 90.00°, β = 90.00°, γ = 90.00°
Fractional positions:
Cs  0.000  0.000  0.500
Cs  0.000  0.500  0.000
Cs  0.500  0.000  0.000
Ga  0.500  0.500  0.500
Au  0.000  0.000  0.000

---

# 13
The following is a DFT calculation (PBE) of Er4ZrN4 after structural relaxation.

Total energy   -8.224 eV/atom
Energy relative to the lowest polymorph listed for this composition   0.000 eV/atom
Volume   15.5 A^3/atom
Space group   I4/m
Raw formation energy   -1546 meV/atom

a = 5.881 Å, b = 5.881 Å, c = 5.881 Å
α = 99.82°, β = 99.82°, γ = 131.22°
Fractional positions:
Er  0.108  0.309  0.417
Er  0.309  0.892  0.201
Er  0.691  0.108  0.799
Er  0.892  0.691  0.583
Zr  0.500  0.500  0.000
N  0.209  0.595  0.804
N  0.405  0.209  0.615
N  0.595  0.791  0.385
N  0.791  0.405  0.196

---

# 14
The following is a DFT calculation (PBE) of LiTa2Te4Br10O after structural relaxation.

Total energy   -4.209 eV/atom
Energy relative to the lowest polymorph listed for this composition   0.002 eV/atom
Volume   38.2 A^3/atom
Space group   P1
Raw formation energy   -882 meV/atom

a = 7.780 Å, b = 9.254 Å, c = 9.878 Å
α = 80.56°, β = 89.49°, γ = 78.46°
Fractional positions:
Li  0.000  0.000  0.000
Ta  0.039  0.633  0.121
Ta  0.961  0.367  0.881
Te  0.336  0.105  0.350
Te  0.422  0.814  0.487
Te  0.577  0.186  0.514
Te  0.663  0.895  0.651
Br  0.081  0.844  0.265
Br  0.120  0.486  0.689
Br  0.209  0.763  0.930
Br  0.242  0.182  0.971
Br  0.330  0.474  0.217
Br  0.669  0.526  0.785
Br  0.759  0.818  0.029
Br  0.791  0.237  0.071
Br  0.879  0.514  0.312
Br  0.918  0.156  0.736
O  0.000  0.500  0.001

---

# 15
The following is a DFT calculation (PBE) of Ho5Tl2Si after structural relaxation.

Total energy   -4.530 eV/atom
Volume   26.9 A^3/atom
Space group   Pbam
Raw formation energy   -399 meV/atom

a = 6.951 Å, b = 12.583 Å, c = 4.914 Å
α = 90.00°, β = 90.00°, γ = 90.00°
Fractional positions:
Ho  0.000  0.000  0.000
Ho  0.138  0.282  0.000
Ho  0.169  0.587  0.500
Ho  0.331  0.087  0.500
Ho  0.362  0.782  0.000
Ho  0.500  0.500  0.000
Ho  0.638  0.218  0.000
Ho  0.669  0.913  0.500
Ho  0.831  0.413  0.500
Ho  0.862  0.718  0.000
Tl  0.101  0.840  0.500
Tl  0.399  0.340  0.500
Tl  0.601  0.660  0.500
Tl  0.899  0.160  0.500
Si  0.000  0.500  0.000
Si  0.500  0.000  0.000

---

# 16
The following is a DFT calculation (PBE) of CuSi2Rh after structural relaxation.

Total energy   -5.908 eV/atom
Volume   13.3 A^3/atom
Space group   P4mm
Raw formation energy   -335 meV/atom

a = 3.292 Å, b = 3.292 Å, c = 4.901 Å
α = 90.00°, β = 90.00°, γ = 90.00°
Fractional positions:
Cu  0.000  0.000  0.000
Si  0.000  0.000  0.508
Si  0.500  0.500  0.813
Rh  0.500  0.500  0.316

---

# 17
The following is a DFT calculation (PBE) of ErCoSn after structural relaxation.

Total energy   -5.608 eV/atom
Energy of formation   -383.7 meV per atom
Volume   20.4 A^3/atom
Space group   P-6m2

a = 4.475 Å, b = 4.475 Å, c = 3.536 Å
α = 90.00°, β = 90.00°, γ = 120.00°
Fractional positions:
Er  0.000  0.000  0.000
Co  0.667  0.333  0.500
Sn  0.333  0.667  0.500

---

# 18
The following is a DFT calculation (PBE) of LiAl2Te2 after structural relaxation.

Total energy   -3.263 eV/atom
Energy relative to the lowest polymorph listed for this composition   0.096 eV/atom
Volume   24.2 A^3/atom
Space group   I4/mmm
Raw formation energy   -126 meV/atom

a = 3.936 Å, b = 3.936 Å, c = 15.621 Å
α = 90.00°, β = 90.00°, γ = 90.00°
Fractional positions:
Li  0.000  0.000  0.000
Li  0.500  0.500  0.500
Al  0.000  0.500  0.250
Al  0.000  0.500  0.750
Al  0.500  0.000  0.250
Al  0.500  0.000  0.750
Te  0.000  0.000  0.400
Te  0.000  0.000  0.600
Te  0.500  0.500  0.100
Te  0.500  0.500  0.900

---

# 19
The following is a DFT calculation (PBE) of HgMoOs2 after structural relaxation.

Total energy   -7.370 eV/atom
Energy of formation   1028.0 meV per atom
Volume   18.4 A^3/atom
Space group   I-42d

a = 7.348 Å, b = 7.348 Å, c = 5.440 Å
α = 90.00°, β = 90.00°, γ = 90.00°
Fractional positions:
Hg  0.000  0.000  0.000
Hg  0.000  0.500  0.250
Hg  0.500  0.000  0.750
Hg  0.500  0.500  0.500
Mo  0.000  0.000  0.500
Mo  0.000  0.500  0.750
Mo  0.500  0.000  0.250
Mo  0.500  0.500  0.000
Os  0.201  0.250  0.625
Os  0.250  0.701  0.875
Os  0.250  0.799  0.375
Os  0.299  0.250  0.125
Os  0.701  0.750  0.125
Os  0.750  0.201  0.375
Os  0.750  0.299  0.875
Os  0.799  0.750  0.625

---

# 20
The following is a DFT calculation (PBE) of Ca2TlCuH after structural relaxation.

Total energy   -3.039 eV/atom
Volume   20.6 A^3/atom
Space group   P4/mmm

a = 5.203 Å, b = 5.203 Å, c = 3.802 Å
α = 90.00°, β = 90.00°, γ = 90.00°
Fractional positions:
Ca  0.000  0.500  0.000
Ca  0.500  0.000  0.000
Tl  0.000  0.000  0.500
Cu  0.500  0.500  0.500
H  0.500  0.500  0.000